# NdTh2ScAs4 | Alexandria via LeMat-Bulk | PBE-GGA | relaxed
data_NdTh2ScAs4
_space_group_name_H-M_alt 'P 1 2/m 1'
_space_group_IT_number 10
_space_group_name_Hall '-P 2y'
_cell_length_a 7.1909
_cell_length_b 4.1980
_cell_length_c 7.2632
_cell_angle_alpha 90.00
_cell_angle_beta 109.76
_cell_angle_gamma 90.00
loop_
_atom_site_label
_atom_site_type_symbol
_atom_site_fract_x
_atom_site_fract_y
_atom_site_fract_z
_atom_site_occupancy
Nd1 Nd 0.0000 0.0000 0.0000 1
Th1 Th 0.5000 0.0000 0.5000 1
Th2 Th 0.5000 0.5000 0.0000 1
Sc1 Sc 0.0000 0.5000 0.5000 1
As1 As 0.2366 0.0000 0.7359 1
As2 As 0.2441 0.5000 0.2576 1
# Energy of formation from the pure elements in meV/atom: -1391.5
# E_tot in eV per atom: -6.96

---

# NdTmSc2As4 | Alexandria via LeMat-Bulk | PBE-GGA | relaxed
data_NdTmSc2As4
_space_group_name_H-M_alt 'P 1 2/m 1'
_space_group_IT_number 10
_space_group_name_Hall '-P 2y'
_cell_length_a 6.9631
_cell_length_b 4.0366
_cell_length_c 6.9832
_cell_angle_alpha 90.00
_cell_angle_beta 109.55
_cell_angle_gamma 90.00
loop_
_atom_site_label
_atom_site_type_symbol
_atom_site_fract_x
_atom_site_fract_y
_atom_site_fract_z
_atom_site_occupancy
Nd1 Nd 0.0000 0.0000 0.0000 1
Tm1 Tm 0.0000 0.5000 0.5000 1
Sc1 Sc 0.5000 0.0000 0.5000 1
Sc2 Sc 0.5000 0.5000 0.0000 1
As1 As 0.2656 0.0000 0.7491 1
As2 As 0.2703 0.5000 0.2630 1
# Energy of formation from the pure elements in meV/atom: -1414.7
# E_tot in eV per atom: -6.48

---

# NdTm2ScAs4 | Alexandria via LeMat-Bulk | PBE-GGA | relaxed
data_NdTm2ScAs4
_space_group_name_H-M_alt 'P 1 2/m 1'
_space_group_IT_number 10
_space_group_name_Hall '-P 2y'
_cell_length_a 7.0559
_cell_length_b 4.0833
_cell_length_c 7.0666
_cell_angle_alpha 90.00
_cell_angle_beta 109.46
_cell_angle_gamma 90.00
loop_
_atom_site_label
_atom_site_type_symbol
_atom_site_fract_x
_atom_site_fract_y
_atom_site_fract_z
_atom_site_occupancy
Nd1 Nd 0.0000 0.0000 0.0000 1
Tm1 Tm 0.0000 0.5000 0.5000 1
Tm2 Tm 0.5000 0.0000 0.5000 1
Sc1 Sc 0.5000 0.5000 0.0000 1
As1 As 0.2613 0.0000 0.7526 1
As2 As 0.2624 0.5000 0.2553 1
# Energy of formation from the pure elements in meV/atom: -1438.1
# E_tot in eV per atom: -6.27

---

# Nd2TmScAs4 | Alexandria via LeMat-Bulk | PBE-GGA | relaxed
data_Nd2TmScAs4
_space_group_name_H-M_alt 'P 1 2/m 1'
_space_group_IT_number 10
_space_group_name_Hall '-P 2y'
_cell_length_a 7.1318
_cell_length_b 4.1353
_cell_length_c 7.1547
_cell_angle_alpha 90.00
_cell_angle_beta 109.54
_cell_angle_gamma 90.00
loop_
_atom_site_label
_atom_site_type_symbol
_atom_site_fract_x
_atom_site_fract_y
_atom_site_fract_z
_atom_site_occupancy
Nd1 Nd 0.0000 0.0000 0.0000 1
Nd2 Nd 0.0000 0.5000 0.5000 1
Tm1 Tm 0.5000 0.0000 0.5000 1
Sc1 Sc 0.5000 0.5000 0.0000 1
As1 As 0.2667 0.5000 0.2508 1
As2 As 0.2702 0.0000 0.7615 1
# Energy of formation from the pure elements in meV/atom: -1449.7
# E_tot in eV per atom: -6.32